## ZrSc2Ir (meta-GGA SCAN)

Data for ZrSc2Ir at its PBEsol-relaxed geometry.

Lattice parameters (Å, degrees): 6.662 6.662 6.662 90.00 90.00 90.00
Space group F-43m (No. 216)
Asymmetric unit:
Zr  0.000  0.000  0.000 (multiplicity 4)
Sc  0.000  0.000  0.500 (multiplicity 4)
Sc  0.250  0.250  0.250 (multiplicity 4)
Ir  0.250  0.250  0.750 (multiplicity 4)

ΔE to the lowest computed polymorph   0.147 eV/atom
Final energy   -33.0859 eV/atom
DFT formation energy   -518 meV/atom


## ZrScIr2 (meta-GGA SCAN)

Data for ZrScIr2 at its PBEsol-relaxed geometry.

Lattice parameters (Å, degrees): 3.843 3.843 9.136 90.00 90.00 90.00
Space group I-4m2 (No. 119)
Asymmetric unit:
Zr  0.000  0.000  0.000 (multiplicity 2)
Sc  0.000  0.500  0.750 (multiplicity 2)
Ir  0.000  0.000  0.500 (multiplicity 2)
Ir  0.000  0.500  0.250 (multiplicity 2)

Final energy   -47.6772 eV/atom
DFT formation energy   -894 meV/atom


## ZrSc2Ir (meta-GGA SCAN)

Data for ZrSc2Ir at its PBEsol-relaxed geometry.

Lattice parameters (Å, degrees): 3.289 3.289 7.416 90.00 90.00 90.00
Space group P4mm (No. 99)
Asymmetric unit:
Zr  0.000  0.000  0.000 (multiplicity 1)
Sc  0.000  0.000  0.415 (multiplicity 1)
Sc  0.500  0.500  0.731 (multiplicity 1)
Ir  0.500  0.500  0.218 (multiplicity 1)

ΔE to the lowest computed polymorph   0.130 eV/atom
Final energy   -33.1034 eV/atom
DFT formation energy   -535 meV/atom


## ZrScIr2 (meta-GGA SCAN)

Data for ZrScIr2 at its PBEsol-relaxed geometry.

Lattice parameters (Å, degrees): 3.105 3.462 6.248 90.00 90.00 90.00
Space group Pmmm (No. 47)
Asymmetric unit:
Zr  0.000  0.000  0.000 (multiplicity 1)
Sc  0.000  0.000  0.500 (multiplicity 1)
Ir  0.500  0.500  0.251 (multiplicity 2)

Final energy   -47.9179 eV/atom
DFT formation energy   -1134 meV/atom


## Zr2ScIr (meta-GGA SCAN)

Data for Zr2ScIr at its PBEsol-relaxed geometry.

Lattice parameters (Å, degrees): 3.375 4.755 9.691 90.00 90.00 90.00
Space group Immm (No. 71)
Asymmetric unit:
Zr  0.000  0.000  0.222 (multiplicity 4)
Sc  0.000  0.500  0.000 (multiplicity 2)
Ir  0.000  0.500  0.500 (multiplicity 2)

ΔE to the lowest computed polymorph   0.000 eV/atom
Final energy   -37.3064 eV/atom
DFT formation energy   -623 meV/atom


## Zr2ScIr (meta-GGA SCAN)

Data for Zr2ScIr at its PBEsol-relaxed geometry.

Lattice parameters (Å, degrees): 6.664 6.664 6.664 90.00 90.00 90.00
Space group F-43m (No. 216)
Asymmetric unit:
Zr  0.000  0.000  0.000 (multiplicity 4)
Zr  0.250  0.250  0.250 (multiplicity 4)
Sc  0.250  0.250  0.750 (multiplicity 4)
Ir  0.000  0.000  0.500 (multiplicity 4)

ΔE to the lowest computed polymorph   0.154 eV/atom
Final energy   -37.1524 eV/atom
DFT formation energy   -469 meV/atom


## ZrSc2Ir (meta-GGA SCAN)

Data for ZrSc2Ir at its PBEsol-relaxed geometry.

Lattice parameters (Å, degrees): 3.362 4.755 9.779 90.00 90.00 90.00
Space group Imm2 (No. 44)
Asymmetric unit:
Zr  0.000  0.000  0.000 (multiplicity 2)
Sc  0.000  0.000  0.426 (multiplicity 2)
Sc  0.000  0.500  0.215 (multiplicity 2)
Ir  0.000  0.500  0.712 (multiplicity 2)

ΔE to the lowest computed polymorph   0.000 eV/atom
Final energy   -33.2334 eV/atom
DFT formation energy   -665 meV/atom


## ZrSc2Ir (meta-GGA SCAN)

Data for ZrSc2Ir at its PBEsol-relaxed geometry.

Lattice parameters (Å, degrees): 3.184 3.184 7.642 90.00 90.00 90.00
Space group P4/mmm (No. 123)
Asymmetric unit:
Zr  0.000  0.000  0.000 (multiplicity 1)
Sc  0.500  0.500  0.292 (multiplicity 2)
Ir  0.000  0.000  0.500 (multiplicity 1)

ΔE to the lowest computed polymorph   0.063 eV/atom
Final energy   -33.1699 eV/atom
DFT formation energy   -602 meV/atom


Please write out number 6 again, unchanged.
## Zr2ScIr (meta-GGA SCAN)

Data for Zr2ScIr at its PBEsol-relaxed geometry.

Lattice parameters (Å, degrees): 6.664 6.664 6.664 90.00 90.00 90.00
Space group F-43m (No. 216)
Asymmetric unit:
Zr  0.000  0.000  0.000 (multiplicity 4)
Zr  0.250  0.250  0.250 (multiplicity 4)
Sc  0.250  0.250  0.750 (multiplicity 4)
Ir  0.000  0.000  0.500 (multiplicity 4)

ΔE to the lowest computed polymorph   0.154 eV/atom
Final energy   -37.1524 eV/atom
DFT formation energy   -469 meV/atom


final energy of number 5 (Zr2ScIr)? -37.3064 eV/atom


Which value of DFT formation energy does entry 3 give? -535 meV/atom


Repeat the eighth record exactly.
## ZrSc2Ir (meta-GGA SCAN)

Data for ZrSc2Ir at its PBEsol-relaxed geometry.

Lattice parameters (Å, degrees): 3.184 3.184 7.642 90.00 90.00 90.00
Space group P4/mmm (No. 123)
Asymmetric unit:
Zr  0.000  0.000  0.000 (multiplicity 1)
Sc  0.500  0.500  0.292 (multiplicity 2)
Ir  0.000  0.000  0.500 (multiplicity 1)

ΔE to the lowest computed polymorph   0.063 eV/atom
Final energy   -33.1699 eV/atom
DFT formation energy   -602 meV/atom